[1]
Material: V2FeH4
Method: DFT, PBE
State: optimized geometry

Its space group is I4_1/amd (141). The electronic total energy is -5.7657 eV per atom. Its density of states at the Fermi level is 0.42 states/eV/atom.

Lattice parameters (Å, degrees): 5.2700 5.2700 5.2700 119.89 119.89 90.20
Last column: nearest neighbours and their distance in Å.
Positions (direct):
V 0.0000 0.0000 0.0000  6 H 1.82
V 0.0000 0.0000 0.5000  6 H 1.82
V 0.0000 0.5000 0.0000  6 H 1.82
V 0.5000 0.0000 0.5000  6 H 1.82
Fe 0.3750 0.6250 0.7500  4 H 1.69
Fe 0.6250 0.3750 0.2500  4 H 1.69
H 0.2324 0.2447 0.9877  1 Fe 1.69, 3 V 1.82
H 0.2430 0.7553 0.4877  1 Fe 1.69, 3 V 1.82
H 0.2447 0.2324 0.4877  1 Fe 1.69, 3 V 1.82
H 0.2447 0.7570 0.0123  1 Fe 1.69, 3 V 1.82
H 0.7553 0.2430 0.9877  1 Fe 1.69, 3 V 1.82
H 0.7553 0.7676 0.5123  1 Fe 1.69, 3 V 1.82
H 0.7570 0.2447 0.5123  1 Fe 1.69, 3 V 1.82
H 0.7676 0.7553 0.0123  1 Fe 1.69, 3 V 1.82


[2]
Material: VFeH4
Method: DFT, PBE
State: optimized geometry

Its space group is P4/mmm (123). The electronic total energy is -5.2154 eV per atom. Its density of states at the Fermi level is 0.34 states/eV/atom.

Lattice parameters (Å, degrees): 2.9028 2.9028 4.1162 90.00 90.00 90.00
Last column: nearest neighbours and their distance in Å.
Positions (direct):
V 0.0000 0.0000 0.0000  8 H 1.83
Fe 0.5000 0.5000 0.5000  8 H 1.73
H 0.0000 0.5000 0.2720  2 Fe 1.73, 2 V 1.83, 1 H 1.88
H 0.0000 0.5000 0.7280  2 Fe 1.73, 2 V 1.83, 1 H 1.88
H 0.5000 0.0000 0.2720  2 Fe 1.73, 2 V 1.83, 1 H 1.88
H 0.5000 0.0000 0.7280  2 Fe 1.73, 2 V 1.83, 1 H 1.88


[3]
Material: V2FeH2
Method: DFT, PBE
State: optimized geometry

Its space group is P-1 (2). The electronic total energy is -6.7779 eV per atom. Its density of states at the Fermi level is 0.88 states/eV/atom.

Lattice parameters (Å, degrees): 4.6196 4.6520 4.6565 119.79 99.99 100.13
Last column: nearest neighbours and their distance in Å.
Positions (direct):
V 0.2490 0.2480 0.2535  4 H 1.90-1.94
V 0.2514 0.5977 0.9053  4 H 1.93-1.96
V 0.7486 0.4023 0.0947  4 H 1.93-1.96
V 0.7510 0.7520 0.7465  4 H 1.90-1.94
Fe 0.2497 0.9206 0.5793  4 H 1.83-1.86
Fe 0.7503 0.0794 0.4207  4 H 1.83-1.86
H 0.0047 0.1659 0.8214  2 Fe 1.83-1.86, 4 V 1.90-1.95
H 0.4958 0.6788 0.3352  2 Fe 1.83-1.86, 4 V 1.90-1.96
H 0.5042 0.3212 0.6648  2 Fe 1.83-1.86, 4 V 1.90-1.96
H 0.9953 0.8341 0.1786  2 Fe 1.83-1.86, 4 V 1.90-1.95


[4]
Material: V2FeH2
Method: DFT, PBE
State: optimized geometry

Its space group is P4/mbm (127). The electronic total energy is -6.5875 eV per atom. Its density of states at the Fermi level is 0.98 states/eV/atom.

Lattice parameters (Å, degrees): 5.5474 5.5474 2.6806 90.00 90.00 90.00
Last column: nearest neighbours and their distance in Å.
Positions (direct):
V 0.1607 0.3393 0.0000  6 H 2.04-2.15
V 0.3393 0.8393 0.0000  6 H 2.04-2.15
V 0.6607 0.1607 0.0000  6 H 2.04-2.15
V 0.8393 0.6607 0.0000  6 H 2.04-2.15
Fe 0.0000 0.0000 0.5000  4 H 2.13
Fe 0.5000 0.5000 0.5000  4 H 2.13
H 0.1426 0.6426 0.5000  6 V 2.04-2.15, 2 Fe 2.13, 1 H 2.24
H 0.3574 0.1426 0.5000  6 V 2.04-2.15, 2 Fe 2.13, 1 H 2.24
H 0.6426 0.8574 0.5000  6 V 2.04-2.15, 2 Fe 2.13, 1 H 2.24
H 0.8574 0.3574 0.5000  6 V 2.04-2.15, 2 Fe 2.13, 1 H 2.24


[5]
Material: VFe3H
Method: DFT, PBE
State: optimized geometry

Its space group is Pm-3m (221). The electronic total energy is -5.8560 eV per atom. Its density of states at the Fermi level is 0.91 states/eV/atom.

Lattice parameters (Å, degrees): 4.2798 4.2798 4.2798 90.00 90.00 90.00
Last column: nearest neighbours and their distance in Å.
Positions (direct):
V 0.0000 0.0000 0.0000  6 Fe 2.14
Fe 0.0000 0.0000 0.5000  2 V 2.14
Fe 0.0000 0.5000 0.0000  2 V 2.14
Fe 0.5000 0.0000 0.0000  2 V 2.14
H 0.5000 0.5000 0.5000  12 Fe 3.03


[6]
Material: VFeH4
Method: DFT, PBE
State: optimized geometry

Its space group is C2/c (15). The electronic total energy is -5.1338 eV per atom. Its density of states at the Fermi level is 0.47 states/eV/atom.

Lattice parameters (Å, degrees): 4.3461 4.3461 4.8845 104.05 104.05 112.49
Last column: nearest neighbours and their distance in Å.
Positions (direct):
V 0.1055 0.8945 0.7500  6 H 1.80-1.96
V 0.8945 0.1055 0.2500  6 H 1.80-1.96
Fe 0.4562 0.5438 0.7500  6 H 1.64-1.71
Fe 0.5438 0.4562 0.2500  6 H 1.64-1.71
H 0.0344 0.2474 0.6626  1 Fe 1.66, 2 V 1.80-1.82, 1 H 1.85
H 0.2474 0.0344 0.1626  1 Fe 1.66, 2 V 1.80-1.82, 1 H 1.85
H 0.3001 0.5915 0.4304  2 Fe 1.64-1.71
H 0.4085 0.6999 0.0696  2 Fe 1.64-1.71
H 0.5915 0.3001 0.9304  2 Fe 1.64-1.71
H 0.6999 0.4085 0.5696  2 Fe 1.64-1.71
H 0.7526 0.9656 0.8374  1 Fe 1.66, 2 V 1.80-1.82, 1 H 1.85
H 0.9656 0.7526 0.3374  1 Fe 1.66, 2 V 1.80-1.82, 1 H 1.85


[7]
Material: V3Fe5H12
Method: DFT, PBE
State: optimized geometry

Its space group is Ia-3d (230). The electronic total energy is -5.4837 eV per atom. Its density of states at the Fermi level is 0.61 states/eV/atom.

Lattice parameters (Å, degrees): 8.8303 8.8303 8.8303 109.47 109.47 109.47
Last column: nearest neighbours and their distance in Å.
Positions (direct):
V 0.1250 0.2500 0.3750  8 H 1.87-1.88
V 0.1250 0.3750 0.7500  8 H 1.87-1.88
V 0.2500 0.3750 0.1250  8 H 1.87-1.88
V 0.2500 0.8750 0.6250  8 H 1.87-1.88
V 0.3750 0.1250 0.2500  8 H 1.87-1.88
V 0.3750 0.7500 0.1250  8 H 1.87-1.88
V 0.6250 0.2500 0.8750  8 H 1.87-1.88
V 0.6250 0.8750 0.7500  8 H 1.87-1.88
V 0.7500 0.1250 0.3750  8 H 1.87-1.88
V 0.7500 0.6250 0.8750  8 H 1.87-1.88
V 0.8750 0.6250 0.2500  8 H 1.87-1.88
V 0.8750 0.7500 0.6250  8 H 1.87-1.88
Fe 0.0000 0.0000 0.0000  6 H 1.69
Fe 0.0000 0.0000 0.5000  6 H 1.69
Fe 0.0000 0.5000 0.0000  6 H 1.69
Fe 0.0000 0.5000 0.5000  6 H 1.69
Fe 0.1250 0.7500 0.8750  4 H 1.67
Fe 0.1250 0.8750 0.2500  4 H 1.67
Fe 0.2500 0.1250 0.8750  4 H 1.67
Fe 0.2500 0.6250 0.3750  4 H 1.67
Fe 0.3750 0.2500 0.6250  4 H 1.67
Fe 0.3750 0.6250 0.7500  4 H 1.67
Fe 0.5000 0.0000 0.0000  6 H 1.69
Fe 0.5000 0.0000 0.5000  6 H 1.69
Fe 0.5000 0.5000 0.0000  6 H 1.69
Fe 0.5000 0.5000 0.5000  6 H 1.69
Fe 0.6250 0.3750 0.2500  4 H 1.67
Fe 0.6250 0.7500 0.3750  4 H 1.67
Fe 0.7500 0.3750 0.6250  4 H 1.67
Fe 0.7500 0.8750 0.1250  4 H 1.67
Fe 0.8750 0.1250 0.7500  4 H 1.67
Fe 0.8750 0.2500 0.1250  4 H 1.67
H 0.0545 0.2189 0.1374  2 Fe 1.67-1.69, 1 V 1.87
H 0.0545 0.3357 0.9171  2 Fe 1.67-1.69, 1 V 1.87
H 0.0815 0.7189 0.6643  2 Fe 1.67-1.69, 1 V 1.87
H 0.0815 0.8626 0.4171  2 Fe 1.67-1.69, 1 V 1.87
H 0.0829 0.6374 0.4185  2 Fe 1.67-1.69, 1 V 1.87
H 0.0829 0.9455 0.6643  2 Fe 1.67-1.69, 1 V 1.87
H 0.1374 0.0545 0.2189  2 Fe 1.67-1.69, 1 V 1.87
H 0.1374 0.5829 0.9185  2 Fe 1.67-1.69, 1 V 1.87
H 0.1643 0.2189 0.5815  2 Fe 1.67-1.69, 1 V 1.87
H 0.1643 0.4455 0.5829  2 Fe 1.67-1.69, 1 V 1.87
H 0.2189 0.1374 0.0545  2 Fe 1.67-1.69, 1 V 1.87
H 0.2189 0.5815 0.1643  2 Fe 1.67-1.69, 1 V 1.87
H 0.2811 0.3357 0.9185  2 Fe 1.67-1.69, 1 V 1.87
H 0.2811 0.4455 0.3626  2 Fe 1.67-1.69, 1 V 1.87
H 0.3357 0.9171 0.0545  2 Fe 1.67-1.69, 1 V 1.87
H 0.3357 0.9185 0.2811  2 Fe 1.67-1.69, 1 V 1.87
H 0.3626 0.2811 0.4455  2 Fe 1.67-1.69, 1 V 1.87
H 0.3626 0.5815 0.9171  2 Fe 1.67-1.69, 1 V 1.87
H 0.4171 0.0815 0.8626  2 Fe 1.67-1.69, 1 V 1.87
H 0.4171 0.8357 0.5545  2 Fe 1.67-1.69, 1 V 1.87
H 0.4185 0.0829 0.6374  2 Fe 1.67-1.69, 1 V 1.87
H 0.4185 0.8357 0.7811  2 Fe 1.67-1.69, 1 V 1.87
H 0.4455 0.3626 0.2811  2 Fe 1.67-1.69, 1 V 1.87
H 0.4455 0.5829 0.1643  2 Fe 1.67-1.69, 1 V 1.87
H 0.5545 0.4171 0.8357  2 Fe 1.67-1.69, 1 V 1.87
H 0.5545 0.6374 0.7189  2 Fe 1.67-1.69, 1 V 1.87
H 0.5815 0.1643 0.2189  2 Fe 1.67-1.69, 1 V 1.87
H 0.5815 0.9171 0.3626  2 Fe 1.67-1.69, 1 V 1.87
H 0.5829 0.1643 0.4455  2 Fe 1.67-1.69, 1 V 1.87
H 0.5829 0.9185 0.1374  2 Fe 1.67-1.69, 1 V 1.87
H 0.6374 0.4185 0.0829  2 Fe 1.67-1.69, 1 V 1.87
H 0.6374 0.7189 0.5545  2 Fe 1.67-1.69, 1 V 1.87
H 0.6643 0.0815 0.7189  2 Fe 1.67-1.69, 1 V 1.87
H 0.6643 0.0829 0.9455  2 Fe 1.67-1.69, 1 V 1.87
H 0.7189 0.5545 0.6374  2 Fe 1.67-1.69, 1 V 1.87
H 0.7189 0.6643 0.0815  2 Fe 1.67-1.69, 1 V 1.87
H 0.7811 0.4185 0.8357  2 Fe 1.67-1.69, 1 V 1.87
H 0.7811 0.8626 0.9455  2 Fe 1.67-1.69, 1 V 1.87
H 0.8357 0.5545 0.4171  2 Fe 1.67-1.69, 1 V 1.87
H 0.8357 0.7811 0.4185  2 Fe 1.67-1.69, 1 V 1.87
H 0.8626 0.4171 0.0815  2 Fe 1.67-1.69, 1 V 1.87
H 0.8626 0.9455 0.7811  2 Fe 1.67-1.69, 1 V 1.87
H 0.9171 0.0545 0.3357  2 Fe 1.67-1.69, 1 V 1.87
H 0.9171 0.3626 0.5815  2 Fe 1.67-1.69, 1 V 1.87
H 0.9185 0.1374 0.5829  2 Fe 1.67-1.69, 1 V 1.87
H 0.9185 0.2811 0.3357  2 Fe 1.67-1.69, 1 V 1.87
H 0.9455 0.6643 0.0829  2 Fe 1.67-1.69, 1 V 1.87
H 0.9455 0.7811 0.8626  2 Fe 1.67-1.69, 1 V 1.87


[8]
Material: VFe2H2
Method: DFT, PBE
State: optimized geometry

Its space group is I4/mmm (139). The electronic total energy is -6.5311 eV per atom. Its density of states at the Fermi level is 0.76 states/eV/atom.

Lattice parameters (Å, degrees): 4.7257 4.7257 4.7257 141.66 141.66 55.34
Last column: nearest neighbours and their distance in Å.
Positions (direct):
V 0.0000 0.0000 0.0000  8 Fe 2.54, 8 H 2.61
Fe 0.3462 0.3462 0.0000  4 H 1.75
Fe 0.6538 0.6538 0.0000  4 H 1.75
H 0.2500 0.7500 0.5000  4 Fe 1.75
H 0.7500 0.2500 0.5000  4 Fe 1.75


[9]
Material: V5Fe2H12
Method: DFT, PBE
State: optimized geometry

Its space group is C2/m (12). The electronic total energy is -5.4604 eV per atom. Its density of states at the Fermi level is 0.47 states/eV/atom.

Lattice parameters (Å, degrees): 5.3132 5.3132 5.5492 102.64 102.64 55.26
Last column: nearest neighbours and their distance in Å.
Positions (direct):
V 0.0000 0.0000 0.0000  6 H 1.86-1.88
V 0.2862 0.2862 0.6690  7 H 1.75-1.91
V 0.3064 0.3064 0.1288  7 H 1.81-1.87
V 0.6936 0.6936 0.8712  7 H 1.81-1.87
V 0.7138 0.7138 0.3310  7 H 1.75-1.91
Fe 0.2442 0.7558 0.5000  6 H 1.66-1.74
Fe 0.7558 0.2442 0.5000  6 H 1.66-1.74
H 0.0648 0.0648 0.3494  2 Fe 1.66
H 0.0936 0.5998 0.9186  4 V 1.81-1.86
H 0.1151 0.5222 0.4036  1 Fe 1.68, 3 V 1.75-1.87
H 0.4002 0.9064 0.0814  4 V 1.81-1.86
H 0.4778 0.8849 0.5964  1 Fe 1.68, 3 V 1.75-1.87
H 0.4937 0.4937 0.7134  2 Fe 1.74, 2 V 1.87-1.91
H 0.5063 0.5063 0.2866  2 Fe 1.74, 2 V 1.87-1.91
H 0.5222 0.1151 0.4036  1 Fe 1.68, 3 V 1.75-1.87
H 0.5998 0.0936 0.9186  4 V 1.81-1.86
H 0.8849 0.4778 0.5964  1 Fe 1.68, 3 V 1.75-1.87
H 0.9064 0.4002 0.0814  4 V 1.81-1.86
H 0.9352 0.9352 0.6506  2 Fe 1.66


[10]
Material: V2FeH2
Method: DFT, PBE
State: optimized geometry

Its space group is I4/mmm (139). The electronic total energy is -6.8244 eV per atom. Its density of states at the Fermi level is 1.09 states/eV/atom.

Lattice parameters (Å, degrees): 5.9404 5.9404 5.9404 153.43 153.43 37.93
Last column: nearest neighbours and their distance in Å.
Positions (direct):
V 0.1409 0.1409 0.0000  4 H 1.83
V 0.8591 0.8591 0.0000  4 H 1.83
Fe 0.5000 0.5000 0.0000  8 V 2.50, 4 Fe 2.73
H 0.2500 0.7500 0.5000  4 V 1.83, 4 H 1.93
H 0.7500 0.2500 0.5000  4 V 1.83, 4 H 1.93


[11]
Material: V4Fe2H
Method: DFT, PBE
State: optimized geometry

Its space group is I4/mmm (139). The electronic total energy is -7.9840 eV per atom. Its density of states at the Fermi level is 1.19 states/eV/atom.

Lattice parameters (Å, degrees): 6.7777 6.7777 6.7777 149.58 149.58 43.56
Last column: nearest neighbours and their distance in Å.
Positions (direct):
V 0.0000 0.5000 0.5000  2 H 1.78
V 0.1847 0.1847 0.0000  1 Fe 2.15, 1 H 2.33
V 0.5000 0.0000 0.5000  2 H 1.78
V 0.8153 0.8153 0.0000  1 Fe 2.15, 1 H 2.33
Fe 0.3555 0.3555 0.0000  1 V 2.15
Fe 0.6445 0.6445 0.0000  1 V 2.15
H 0.0000 0.0000 0.0000  4 V 1.78


[12]
Material: V2FeHW
Method: DFT, PBE
State: optimized geometry

Its space group is P4/mmm (123). The electronic total energy is -8.6367 eV per atom. Its density of states at the Fermi level is 0.83 states/eV/atom.

Lattice parameters (Å, degrees): 4.1253 4.1253 3.2496 90.00 90.00 90.00
Last column: nearest neighbours and their distance in Å.
Positions (direct):
V 0.0000 0.5000 0.0000  2 H 2.06
V 0.5000 0.0000 0.0000  2 H 2.06
Fe 0.0000 0.0000 0.5000  2 H 1.62
H 0.0000 0.0000 0.0000  2 Fe 1.62
W 0.5000 0.5000 0.5000  8 V 2.63, 4 Fe 2.92


Which formula does entry 6 have?
VFeH4


What is the electronic total energy in the fifth record?
-5.8560 eV per atom